Density functional theory data (PBEsol) for crystalline LiFePO4 at its relaxed geometry.

* energy relative to the lowest polymorph listed for this composition: 2.3 kJ per mole of atoms
* D(E_F): 18.445 states/eV per cell
* final energy: -7.276 eV/atom

Unit cell a=5.3247 b=7.8661 c=8.3547 alpha=104.88 beta=90.00 gamma=90.00
Last column: nearest neighbours and their distance in Å.
Sites, in units of the cell vectors:
Li 0.6559 0.0328 0.4283  4 O 1.90-2.01
Li 0.3441 0.0328 0.9283  4 O 1.90-2.01
Li 0.1657 0.4987 0.2199  4 O 1.96-2.02
Li 0.8343 0.4987 0.7199  4 O 1.96-2.02
Fe 0.8344 0.1317 0.8002  4 O 1.94-2.04
Fe 0.3336 0.6310 0.6049  4 O 1.95-1.98
Fe 0.1656 0.1317 0.3002  4 O 1.94-2.04
Fe 0.6664 0.6310 0.1049  4 O 1.95-1.98
P 0.3291 0.2594 0.6753  4 O 1.55-1.56
P 0.6709 0.2594 0.1753  4 O 1.55-1.56
P 0.1626 0.7534 0.9851  4 O 1.54-1.55
P 0.8374 0.7534 0.4851  4 O 1.54-1.55
O 0.1981 0.1802 0.8054  1 P 1.55
O 0.8019 0.1802 0.3054  1 P 1.55
O 0.3340 0.1216 0.5044  1 P 1.56
O 0.6660 0.1216 0.0044  1 P 1.56
O 0.7006 0.7795 0.3296  1 P 1.55
O 0.2994 0.7795 0.8296  1 P 1.55
O 0.6045 0.3072 0.7308  1 P 1.56
O 0.3955 0.3072 0.2308  1 P 1.56
O 0.8964 0.6766 0.9386  1 P 1.55
O 0.1036 0.6766 0.4386  1 P 1.55
O 0.8203 0.4220 0.1575  1 P 1.55
O 0.1797 0.4220 0.6575  1 P 1.55
O 0.8396 0.9417 0.6000  1 P 1.54
O 0.1604 0.9417 0.1000  1 P 1.54
O 0.3058 0.6253 0.0663  1 P 1.55
O 0.6942 0.6253 0.5663  1 P 1.55